No. 1
DFT (PBE-GGA) results for a relaxed La15TbSm4 crystal.

POSCAR file:
```
La15TbSm4
1.0
-4.6697 -0.5824 -2.2803
1.7147 -4.3124 -2.4100
-8.0805 -14.5357 20.2605
La Tb Sm
15 1 4
Direct
0.5000 0.5000 0.0000
0.5000 0.5000 0.1998
0.5000 0.5000 0.4000
0.5000 0.5000 0.6000
0.5000 0.5000 0.8002
0.5000 0.0000 0.0996
0.5000 0.0000 0.2998
0.5000 0.0000 0.5000
0.5000 0.0000 0.7002
0.5000 0.0000 0.9004
0.0000 0.5000 0.0996
0.0000 0.5000 0.2998
0.0000 0.5000 0.5000
0.0000 0.5000 0.7002
0.0000 0.5000 0.9004
0.0000 0.0000 0.0000
0.0000 0.0000 0.1997
0.0000 0.0000 0.4000
0.0000 0.0000 0.6000
0.0000 0.0000 0.8003
```


No. 2
DFT (PBE-GGA) results for a relaxed Pr2NdAg crystal.

POSCAR file:
```
Pr2NdAg
1.0
-0.0290 -3.7241 -0.1047
3.2091 -1.8740 -0.2659
1.7677 -2.1656 10.6505
Pr Nd Ag
2 1 1
Direct
0.0734 0.0734 0.7797
0.2596 0.2596 0.2201
0.4997 0.4997 0.5015
0.6672 0.6672 0.9988
```


No. 3
DFT (PBE-GGA) results for a relaxed CaLa2Th crystal.

POSCAR file:
```
CaLa2Th
1.0
-2.9356 2.0585 -0.8193
-1.0006 -0.0183 3.5391
5.8543 9.0263 1.7017
Ca Th La
1 1 2
Direct
0.5000 0.5000 0.5000
0.5000 0.5000 0.0000
0.0000 0.0000 0.7775
0.0000 0.0000 0.2225
```


Number 1: calculated total energy -4.8599 eV per atom, calculated volume 716.77 Å³/cell. Number 2: calculated total energy -4.2825 eV per atom, calculated volume 130.01 Å³/cell. Number 3: calculated total energy -4.8000 eV per atom, calculated volume 147.34 Å³/cell.